1.
# TiSiH

An optimized crystal structure of TiSiH (GGA-PBE, the Alexandria database).

Properties
energy relative to the lowest polymorph listed for this composition	73.3	meV/atom
space group	P2_1/m
density	3.9	Mg/m³

abc: 5.869 3.279 7.066
angles: 90.00 103.17 90.00
Fractional positions:
Ti  0.193  0.250  0.134
Ti  0.290  0.750  0.537
Ti  0.710  0.250  0.463
Ti  0.807  0.750  0.866
Si  0.076  0.250  0.734
Si  0.472  0.250  0.856
Si  0.528  0.750  0.144
Si  0.924  0.750  0.266
H  0.129  0.750  0.985
H  0.368  0.250  0.418
H  0.632  0.750  0.582
H  0.871  0.250  0.015



2.
# Zn2NiMo

An optimized crystal structure of Zn2NiMo (GGA-PBE, the Alexandria database).

Properties
energy relative to the lowest polymorph listed for this composition	19.6	meV/atom
space group	P4/mmm
density	8.7	Mg/m³

abc: 2.706 2.706 7.402
angles: 90.00 90.00 90.00
Fractional positions:
Zn  0.000  0.000  0.223
Zn  0.000  0.000  0.777
Ni  0.500  0.500  0.000
Mo  0.500  0.500  0.500



3.
# CuRe2P

An optimized crystal structure of CuRe2P (GGA-PBE, the Alexandria database).

Properties
space group	Imm2
density	14.4	Mg/m³

abc: 2.964 4.140 8.747
angles: 90.00 90.00 90.00
Fractional positions:
Cu  0.000  0.000  0.000
Cu  0.500  0.500  0.500
Re  0.000  0.000  0.449
Re  0.000  0.500  0.215
Re  0.500  0.000  0.715
Re  0.500  0.500  0.949
P  0.000  0.500  0.733
P  0.500  0.000  0.233



4.
# CoAu2Br

An optimized crystal structure of CoAu2Br (GGA-PBE, the Alexandria database).

Properties
energy relative to the lowest polymorph listed for this composition	238.4	meV/atom
space group	P2/m
energy relative to the elements, uncorrected	469	meV per atom
density	10.7	Mg/m³

abc: 4.360 4.348 4.502
angles: 90.00 105.08 90.00
Fractional positions:
Co  0.000  0.000  0.000
Au  0.203  0.500  0.793
Au  0.797  0.500  0.207
Br  0.500  0.000  0.500



Number 1: energy -5.959 eV per atom. Number 2: energy -4.827 eV per atom. Number 3: energy -8.398 eV per atom. Number 4: energy -3.364 eV per atom.